#a
Entry from Alexandria: a geometry-optimized GdPuIr structure (PBE-GGA).

The space group is I4mm (No. 107) and the conventional cell measures 3.569, 3.569 and 11.268 Å, with angles of 90.00, 90.00 and 90.00 degrees. The distinct sites, in fractional coordinates, are Gd at (0.000, 0.000, 0.000), Pu at (0.000, 0.000, 0.281) and Ir at (0.000, 0.000, 0.653).

The total magnetization comes out at 12.862 μB/f.u. Its density of states at the Fermi level is 16.2 states/eV/cell. The value obtained for the volume is 143.5 Å³/cell.

#b
Entry from Alexandria: a geometry-optimized GdPuIr structure (PBE-GGA).

The space group is P3m1 (No. 156) and the conventional cell measures 4.5742, 4.5742 and 3.8882 Å, with angles of 90.00, 90.00 and 120.00 degrees. The distinct sites, in fractional coordinates, are Gd at (0.0000, 0.0000, 0.0000), Pu at (0.3333, 0.6667, 0.5730) and Ir at (0.6667, 0.3333, 0.3202).

The total magnetization comes out at 1.384 μB/f.u. Its density of states at the Fermi level is 8.1 states/eV/cell. The value obtained for the volume is 70.5 Å³/cell.

Which of them is the least stable? Correct choice: #b.

#a
Entry from Alexandria: a geometry-optimized Gd2IrRh structure (PBE-GGA).

The space group is P4/mmm (No. 123) and the conventional cell measures 4.815, 4.815 and 3.574 Å, with angles of 90.00, 90.00 and 90.00 degrees. The distinct sites, in fractional coordinates, are Gd at (0.000, 0.500, 0.000), Ir at (0.000, 0.000, 0.500) and Rh at (0.500, 0.500, 0.500).

The total magnetization comes out at 14.028 μB/f.u. Its density of states at the Fermi level is 2.1 states/eV/cell. The value obtained for the volume is 82.9 Å³/cell.

#b
Entry from Alexandria: a geometry-optimized Gd2IrRh structure (PBE-GGA).

The space group is Fm-3m (No. 225) and the conventional cell measures 6.920, 6.920 and 6.920 Å, with angles of 90.00, 90.00 and 90.00 degrees. The distinct sites, in fractional coordinates, are Gd at (0.250, 0.250, 0.250), Ir at (0.000, 0.000, 0.000) and Rh at (0.000, 0.000, 0.500).

The total magnetization comes out at 13.931 μB/f.u. Its density of states at the Fermi level is 7.4 states/eV/cell. The value obtained for the volume is 331.4 Å³/cell.

Which of them is the least stable? Correct choice: #a.

#a
Entry from Alexandria: a geometry-optimized Gd2SbIr structure (PBE-GGA).

The space group is P4/mmm (No. 123) and the conventional cell measures 3.555, 3.555 and 7.666 Å, with angles of 90.00, 90.00 and 90.00 degrees. The distinct sites, in fractional coordinates, are Gd at (0.000, 0.000, 0.218), Sb at (0.500, 0.500, 0.500) and Ir at (0.500, 0.500, 0.000).

The total magnetization comes out at 14.004 μB/f.u. Its density of states at the Fermi level is 1.0 states/eV/cell. The value obtained for the volume is 96.9 Å³/cell.

#b
Entry from Alexandria: a geometry-optimized Gd2SbIr structure (PBE-GGA).

The space group is R-3m (No. 166, hexagonal axes) and the conventional cell measures 4.8266, 4.8266 and 14.7718 Å, with angles of 90.00, 90.00 and 120.00 degrees. The distinct sites, in fractional coordinates, are Gd at (0.0000, 0.0000, 0.2408), Sb at (0.0000, 0.0000, 0.0000) and Ir at (0.0000, 0.0000, 0.5000).

The total magnetization comes out at 14.002 μB/f.u. Its density of states at the Fermi level is 3.5 states/eV/cell. The value obtained for the volume is 298.0 Å³/cell.

Which of them is the least stable? Correct choice: #b.

#a
Entry from Alexandria: a geometry-optimized Sm2GdIr structure (PBE-GGA).

The space group is P4/mmm (No. 123) and the conventional cell measures 3.585, 3.585 and 8.811 Å, with angles of 90.00, 90.00 and 90.00 degrees. The distinct sites, in fractional coordinates, are Sm at (0.000, 0.000, 0.186), Gd at (0.500, 0.500, 0.500) and Ir at (0.500, 0.500, 0.000).

The total magnetization comes out at 8.319 μB/f.u. Its density of states at the Fermi level is 6.2 states/eV/cell. The value obtained for the volume is 113.2 Å³/cell.

#b
Entry from Alexandria: a geometry-optimized Sm2GdIr structure (PBE-GGA).

The space group is R-3m (No. 166, hexagonal axes) and the conventional cell measures 3.8731, 3.8731 and 31.6286 Å, with angles of 90.00, 90.00 and 120.00 degrees. The distinct sites, in fractional coordinates, are Sm at (0.0000, 0.0000, 0.1141), Gd at (0.0000, 0.0000, 0.0000) and Ir at (0.0000, 0.0000, 0.5000).

The total magnetization comes out at 8.417 μB/f.u. Its density of states at the Fermi level is 24.7 states/eV/cell. The value obtained for the volume is 410.9 Å³/cell.

Which of them is the least stable? Correct choice: #b.

#a
Entry from Alexandria: a geometry-optimized SmGd2Ir structure (PBE-GGA).

The space group is P4/mmm (No. 123) and the conventional cell measures 3.527, 3.527 and 8.868 Å, with angles of 90.00, 90.00 and 90.00 degrees. The distinct sites, in fractional coordinates, are Sm at (0.000, 0.000, 0.000), Gd at (0.500, 0.500, 0.316) and Ir at (0.000, 0.000, 0.500).

The total magnetization comes out at 14.285 μB/f.u. Its density of states at the Fermi level is 5.3 states/eV/cell. The value obtained for the volume is 110.3 Å³/cell.

#b
Entry from Alexandria: a geometry-optimized SmGd2Ir structure (PBE-GGA).

The space group is R-3m (No. 166, hexagonal axes) and the conventional cell measures 3.8982, 3.8982 and 28.1794 Å, with angles of 90.00, 90.00 and 120.00 degrees. The distinct sites, in fractional coordinates, are Sm at (0.0000, 0.0000, 0.0000), Gd at (0.0000, 0.0000, 0.2242) and Ir at (0.0000, 0.0000, 0.5000).

The total magnetization comes out at 13.956 μB/f.u. Its density of states at the Fermi level is 13.3 states/eV/cell. The value obtained for the volume is 370.8 Å³/cell.

Which of them is the least stable? Correct choice: #b.

#a
Entry from Alexandria: a geometry-optimized Gd2TlIr structure (PBE-GGA).

The space group is Fm-3m (No. 225) and the conventional cell measures 7.278, 7.278 and 7.278 Å, with angles of 90.00, 90.00 and 90.00 degrees. The distinct sites, in fractional coordinates, are Gd at (0.250, 0.250, 0.250), Tl at (0.000, 0.000, 0.000) and Ir at (0.000, 0.000, 0.500).

The total magnetization comes out at 14.109 μB/f.u. Its density of states at the Fermi level is 11.4 states/eV/cell. The value obtained for the volume is 385.5 Å³/cell.

#b
Entry from Alexandria: a geometry-optimized Gd2TlIr structure (PBE-GGA).

The space group is P4/mmm (No. 123) and the conventional cell measures 3.488, 3.488 and 8.161 Å, with angles of 90.00, 90.00 and 90.00 degrees. The distinct sites, in fractional coordinates, are Gd at (0.000, 0.000, 0.205), Tl at (0.500, 0.500, 0.500) and Ir at (0.500, 0.500, 0.000).

The total magnetization comes out at 14.218 μB/f.u. Its density of states at the Fermi level is 2.8 states/eV/cell. The value obtained for the volume is 99.3 Å³/cell.

#c
Entry from Alexandria: a geometry-optimized Gd2TlIr structure (PBE-GGA).

The space group is R-3m (No. 166, hexagonal axes) and the conventional cell measures 3.9973, 3.9973 and 24.4053 Å, with angles of 90.00, 90.00 and 120.00 degrees. The distinct sites, in fractional coordinates, are Gd at (0.0000, 0.0000, 0.2315), Tl at (0.0000, 0.0000, 0.0000) and Ir at (0.0000, 0.0000, 0.5000).

The total magnetization comes out at 14.068 μB/f.u. Its density of states at the Fermi level is 6.2 states/eV/cell. The value obtained for the volume is 337.7 Å³/cell.

Which of them is the least stable? Correct choice: #a.

#a
Entry from Alexandria: a geometry-optimized GdTm2Ir structure (PBE-GGA).

The space group is P4/mmm (No. 123) and the conventional cell measures 3.444, 3.444 and 8.740 Å, with angles of 90.00, 90.00 and 90.00 degrees. The distinct sites, in fractional coordinates, are Gd at (0.000, 0.000, 0.000), Tm at (0.500, 0.500, 0.316) and Ir at (0.000, 0.000, 0.500).

The total magnetization comes out at 7.912 μB/f.u. Its density of states at the Fermi level is 4.8 states/eV/cell. The value obtained for the volume is 103.7 Å³/cell.

#b
Entry from Alexandria: a geometry-optimized GdTm2Ir structure (PBE-GGA).

The space group is R-3m (No. 166, hexagonal axes) and the conventional cell measures 3.8731, 3.8731 and 27.3649 Å, with angles of 90.00, 90.00 and 120.00 degrees. The distinct sites, in fractional coordinates, are Gd at (0.0000, 0.0000, 0.0000), Tm at (0.0000, 0.0000, 0.2233) and Ir at (0.0000, 0.0000, 0.5000).

The total magnetization comes out at 8.433 μB/f.u. Its density of states at the Fermi level is 20.4 states/eV/cell. The value obtained for the volume is 355.5 Å³/cell.

Which of them is the least stable? Correct choice: #b.

#a
Entry from Alexandria: a geometry-optimized Gd2TmIr structure (PBE-GGA).

The space group is R-3m (No. 166, hexagonal axes) and the conventional cell measures 3.8506, 3.8506 and 27.9971 Å, with angles of 90.00, 90.00 and 120.00 degrees. The distinct sites, in fractional coordinates, are Gd at (0.0000, 0.0000, 0.2261), Tm at (0.0000, 0.0000, 0.0000) and Ir at (0.0000, 0.0000, 0.5000).

The total magnetization comes out at 15.172 μB/f.u. Its density of states at the Fermi level is 11.6 states/eV/cell. The value obtained for the volume is 359.5 Å³/cell.

#b
Entry from Alexandria: a geometry-optimized Gd2TmIr structure (PBE-GGA).

The space group is P4/mmm (No. 123) and the conventional cell measures 3.549, 3.549 and 8.535 Å, with angles of 90.00, 90.00 and 90.00 degrees. The distinct sites, in fractional coordinates, are Gd at (0.000, 0.000, 0.189), Tm at (0.500, 0.500, 0.500) and Ir at (0.500, 0.500, 0.000).

The total magnetization comes out at 15.296 μB/f.u. Its density of states at the Fermi level is 3.7 states/eV/cell. The value obtained for the volume is 107.5 Å³/cell.

Which of them is the least stable? Correct choice: #a.